Computed, not measured: an optimized crystal structure of Sm2TmPa2Ru5 at the PBE level of DFT.

Cell: 3.629 10.746 10.746 Å, 90.00 90.00 90.00°
Fractional positions:
Sm 0.000 0.673 0.173
Sm 0.000 0.327 0.827
Sm 0.000 0.173 0.327
Sm 0.000 0.827 0.673
Tm 0.000 0.000 0.000
Tm 0.000 0.500 0.500
Pa 0.000 0.137 0.637
Pa 0.000 0.863 0.363
Pa 0.000 0.637 0.863
Pa 0.000 0.363 0.137
Ru 0.500 0.209 0.050
Ru 0.500 0.791 0.950
Ru 0.500 0.050 0.791
Ru 0.500 0.709 0.450
Ru 0.500 0.950 0.209
Ru 0.500 0.291 0.550
Ru 0.500 0.550 0.709
Ru 0.500 0.450 0.291
Ru 0.500 0.500 0.000
Ru 0.500 0.000 0.500

Summary:
Its space group is P4/mbm (127). The calculation puts the formation enthalpy at 0 K at -0.294 eV per atom. For the total magnetization, the calculation gives 0.000 μB per atom. The value obtained for the final energy is -8.22 eV per atom.

Computed, not measured: an optimized crystal structure of SmY2PaRu2 at the PBE level of DFT.

Cell: 6.737 7.049 8.377 Å, 114.88 113.71 90.00°
Fractional positions:
Sm 0.250 0.000 0.000
Sm 0.750 0.000 0.000
Y 0.700 0.878 0.400
Y 0.200 0.522 0.400
Y 0.800 0.478 0.600
Y 0.300 0.122 0.600
Pa 0.750 0.500 0.000
Pa 0.250 0.500 0.000
Ru 0.399 0.598 0.797
Ru 0.601 0.402 0.203
Ru 0.101 0.801 0.203
Ru 0.899 0.199 0.797

Summary:
Its space group is Ibam (72). The calculation puts the formation enthalpy at 0 K at -0.275 eV per atom. For the total magnetization, the calculation gives 0.000 μB per atom. The value obtained for the final energy is -7.89 eV per atom.

Computed, not measured: an optimized crystal structure of SmPaZnRu at the PBE level of DFT.

Cell: 4.958 4.958 4.958 Å, 60.00 60.00 60.00°
Fractional positions:
Ru 0.500 0.500 0.500
Zn 0.000 0.000 0.000
Pa 0.750 0.750 0.750
Sm 0.250 0.250 0.250

Summary:
Its space group is F-43m (216). The calculation puts the formation enthalpy at 0 K at -0.133 eV per atom. For the total magnetization, the calculation gives 0.000 μB per atom. The value obtained for the final energy is -6.32 eV per atom.

Computed, not measured: an optimized crystal structure of Sm2ZrPa2Ru5 at the PBE level of DFT.

Cell: 3.468 10.850 10.850 Å, 90.00 90.00 90.00°
Fractional positions:
Sm 0.000 0.669 0.169
Sm 0.000 0.331 0.831
Sm 0.000 0.169 0.331
Sm 0.000 0.831 0.669
Zr 0.000 0.000 0.000
Zr 0.000 0.500 0.500
Pa 0.000 0.144 0.644
Pa 0.000 0.856 0.356
Pa 0.000 0.644 0.856
Pa 0.000 0.356 0.144
Ru 0.500 0.202 0.048
Ru 0.500 0.798 0.952
Ru 0.500 0.048 0.798
Ru 0.500 0.702 0.452
Ru 0.500 0.952 0.202
Ru 0.500 0.298 0.548
Ru 0.500 0.548 0.702
Ru 0.500 0.452 0.298
Ru 0.500 0.500 0.000
Ru 0.500 0.000 0.500

Summary:
Its space group is P4/mbm (127). The calculation puts the formation enthalpy at 0 K at -0.297 eV per atom. For the total magnetization, the calculation gives 0.000 μB per atom. The value obtained for the final energy is -8.63 eV per atom.

Computed, not measured: an optimized crystal structure of PaSnRu2 at the PBE level of DFT.

Cell: 4.744 4.744 4.744 Å, 60.00 60.00 60.00°
Last column: magnetic moment on the atom in μB.
Fractional positions:
Pa 0.500 0.500 0.500  0.43
Sn 0.000 0.000 0.000  0.00
Ru 0.250 0.250 0.250  0.14
Ru 0.750 0.750 0.750  0.14

Summary:
Its space group is Fm-3m (225). The calculation puts the formation enthalpy at 0 K at -0.366 eV per atom. For the total magnetization, the calculation gives 0.191 μB per atom. The value obtained for the final energy is -8.38 eV per atom.

Computed, not measured: an optimized crystal structure of PaSnRu2 at the PBE level of DFT.

Cell: 3.700 4.482 4.482 Å, 90.00 90.00 90.00°
Fractional positions:
Ru 0.000 0.000 0.500
Ru 0.000 0.500 0.000
Pa 0.500 0.500 0.500
Sn 0.500 0.000 0.000

Summary:
Its space group is P4/mmm (123). The calculation puts the formation enthalpy at 0 K at -0.435 eV per atom. For the total magnetization, the calculation gives 0.000 μB per atom. The value obtained for the final energy is -8.45 eV per atom.

Computed, not measured: an optimized crystal structure of Pa2Sn8Ru at the PBE level of DFT.

Cell: 4.670 4.670 12.139 Å, 90.00 90.00 90.00°
Fractional positions:
Pa 0.000 0.000 0.314
Pa 0.000 0.000 0.686
Sn 0.000 0.500 0.500
Sn 0.500 0.000 0.500
Sn 0.500 0.500 0.310
Sn 0.500 0.500 0.690
Sn 0.000 0.500 0.124
Sn 0.500 0.000 0.124
Sn 0.000 0.500 0.876
Sn 0.500 0.000 0.876
Ru 0.000 0.000 0.000

Summary:
Its space group is P4/mmm (123). The calculation puts the formation enthalpy at 0 K at -0.251 eV per atom. For the total magnetization, the calculation gives 0.000 μB per atom. The value obtained for the final energy is -5.73 eV per atom.

Computed, not measured: an optimized crystal structure of PaSnRu2 at the PBE level of DFT.

Cell: 3.492 3.492 7.866 Å, 77.18 77.18 60.00°
Fractional positions:
Ru 0.758 0.758 0.727
Ru 0.242 0.242 0.273
Pa 0.500 0.500 0.500
Sn 0.000 0.000 0.000

Summary:
Its space group is R-3m (166). The calculation puts the formation enthalpy at 0 K at -0.099 eV per atom. For the total magnetization, the calculation gives 0.000 μB per atom. The value obtained for the final energy is -8.11 eV per atom.

Computed, not measured: an optimized crystal structure of PaVSnRu at the PBE level of DFT.

Cell: 4.740 4.740 4.740 Å, 60.00 60.00 60.00°
Last column: magnetic moment on the atom in μB.
Fractional positions:
Ru 0.500 0.500 0.500  0.09
Pa 0.750 0.750 0.750  0.06
Sn 0.250 0.250 0.250  -0.03
V 0.000 0.000 0.000  1.53

Summary:
Its space group is F-43m (216). The calculation puts the formation enthalpy at 0 K at -0.193 eV per atom. For the total magnetization, the calculation gives 0.472 μB per atom. The value obtained for the final energy is -8.17 eV per atom.

Computed, not measured: an optimized crystal structure of PaZnSnRu at the PBE level of DFT.

Cell: 4.796 4.796 4.796 Å, 60.00 60.00 60.00°
Fractional positions:
Ru 0.000 0.000 0.000
Zn 0.500 0.500 0.500
Pa 0.750 0.750 0.750
Sn 0.250 0.250 0.250

Summary:
Its space group is F-43m (216). The calculation puts the formation enthalpy at 0 K at -0.198 eV per atom. For the total magnetization, the calculation gives 0.000 μB per atom. The value obtained for the final energy is -6.21 eV per atom.

Computed, not measured: an optimized crystal structure of SrPaRu2 at the PBE level of DFT.

Cell: 3.437 3.437 7.498 Å, 90.00 90.00 90.00°
Fractional positions:
Ru 0.000 0.000 0.808
Ru 0.000 0.000 0.192
Pa 0.500 0.500 0.000
Sr 0.500 0.500 0.500

Summary:
Its space group is P4/mmm (123). The calculation puts the formation enthalpy at 0 K at -0.227 eV per atom. For the total magnetization, the calculation gives 0.000 μB per atom. The value obtained for the final energy is -7.66 eV per atom.

Computed, not measured: an optimized crystal structure of PaTa2Ru at the PBE level of DFT.

Cell: 3.086 3.086 8.039 Å, 90.00 90.00 90.00°
Fractional positions:
Ru 0.500 0.500 0.000
Pa 0.500 0.500 0.500
Ta 0.000 0.000 0.793
Ta 0.000 0.000 0.207

Summary:
Its space group is P4/mmm (123). The calculation puts the formation enthalpy at 0 K at -0.066 eV per atom. For the total magnetization, the calculation gives 0.000 μB per atom. The value obtained for the final energy is -10.69 eV per atom.